No. 1
NaNiIrSe3 | PBE | optimized geometry

For the uncorrected formation energy, the calculation gives -261.7 kJ/mol of formula units. For the calculated total energy, the calculation gives -4.85 eV/atom.

It has space group P2_1/m (No. 11), with a = 7.811 Å, b = 3.779 Å, c = 8.906 Å, α = 90.00°, β = 108.42° and γ = 90.00°. The inequivalent atoms are Na at (0.217, 0.250, 0.262), Ni at (0.087, 0.250, 0.614), Ir at (0.316, 0.750, 0.842), Se at (0.113, 0.250, 0.879), Se at (0.223, 0.750, 0.539) and Se at (0.462, 0.750, 0.140).

---

No. 2
Pu2Ag3Au | PBE | optimized geometry

The formation energy is -0.97 eV/f.u. For the calculated total energy, the calculation gives -6.91 eV/atom.

It has space group Pmm2 (No. 25), with a = 2.991 Å, b = 4.979 Å, c = 8.609 Å, α = 90.00°, β = 90.00° and γ = 90.00°. The inequivalent atoms are Pu at (0.000, 0.000, 0.000), Pu at (0.000, 0.500, 0.487), Ag at (0.500, 0.000, 0.663), Ag at (0.500, 0.500, 0.156), Ag at (0.500, 0.500, 0.825) and Au at (0.500, 0.000, 0.329).

---

No. 3
Hg2TeRu | PBE | optimized geometry

For the uncorrected formation energy, the calculation gives 235.8 kJ/mol of formula units. For the calculated total energy, the calculation gives -2.64 eV/atom.

It has space group Cmmm (No. 65), with a = 5.527 Å, b = 8.928 Å, c = 3.504 Å, α = 90.00°, β = 90.00° and γ = 90.00°. The inequivalent atoms are Hg at (0.250, 0.250, 0.000), Te at (0.000, 0.000, 0.500) and Ru at (0.000, 0.500, 0.500).

---

No. 4
Na3NbNi2S6 | PBE | optimized geometry

For the uncorrected formation energy, the calculation gives -821.0 kJ/mol of formula units. For the calculated total energy, the calculation gives -4.91 eV/atom.

It has space group C2/m (No. 12), with a = 6.216 Å, b = 10.769 Å, c = 6.853 Å, α = 90.00°, β = 107.65° and γ = 90.00°. The inequivalent atoms are Na at (0.000, 0.000, 0.000), Na at (0.000, 0.334, 0.000), Nb at (0.000, 0.500, 0.500), Ni at (0.000, 0.167, 0.500), S at (0.226, 0.000, 0.701) and S at (0.238, 0.329, 0.701).

---

No. 5
CsScPb | PBE | optimized geometry

The formation energy is 0.24 eV/f.u. For the calculated total energy, the calculation gives -3.55 eV/atom.

It has space group Pnma (No. 62), with a = 11.603 Å, b = 5.268 Å, c = 10.072 Å, α = 90.00°, β = 90.00° and γ = 90.00°. The inequivalent atoms are Cs at (0.178, 0.250, 0.042), Sc at (0.027, 0.250, 0.411) and Pb at (0.009, 0.250, 0.706).

---

No. 6
SmDyIn4 | PBE | optimized geometry

The formation energy is -1.91 eV/f.u. For the calculated total energy, the calculation gives -3.70 eV/atom.

It has space group Pbam (No. 55), with a = 10.465 Å, b = 18.130 Å, c = 3.468 Å, α = 90.00°, β = 90.00° and γ = 90.00°. The inequivalent atoms are Sm at (0.077, 0.133, 0.000), Dy at (0.118, 0.427, 0.000), In at (0.023, 0.287, 0.500), In at (0.131, 0.973, 0.500), In at (0.156, 0.584, 0.500) and In at (0.198, 0.810, 0.500).

---

Short version: Fermi-level density of states = 0.47 2.75 1.00 0.25 0.03 0.64 states/eV/atom, in the order given.
Short version: total magnetic moment = 0.00 0.03 0.00 7.90 0.00 0.00 Bohr magnetons per cell, in the order given.